! FeNi2O3, optimized geometry, DFT GGA+U; values from VASP
&SYSTEM
  ibrav = 0, nat = 6, ntyp = 3
/
ATOMIC_SPECIES
Fe 55.84 Fe.upf
Ni 58.69 Ni.upf
O 16.00 O.upf
CELL_PARAMETERS angstrom
2.960 -0.019 -0.657
-0.172 2.956 -0.658
0.017 0.018 6.736
ATOMIC_POSITIONS angstrom
Fe 1.225 1.295 5.316
Ni 0.293 0.314 1.272
Ni 2.141 2.258 2.622
O 2.619 2.764 4.658
O 0.739 0.782 3.252
O 1.695 1.791 0.642
! SG: C2/m, No. 12
! final energy: -5.417 eV/atom
! magnetization: 7.99 μB per formula unit